# 1
A plane-wave DFT calculation with PBE was carried out for a relaxed K3Na3SnI8 crystal.

Computed properties:
DOS(E_F) = 0.00 states/eV per cell

Cell lengths 9.812, 9.812, 9.812 Å; angles 57.93, 57.93, 57.93 degrees
Sites, in units of the cell vectors:
K1 0.000 0.500 0.500
K2 0.500 0.000 0.500
K3 0.500 0.500 0.000
Na1 0.000 0.000 0.500
Na2 0.000 0.500 0.000
Na3 0.500 0.000 0.000
Sn1 0.500 0.500 0.500
I1 0.242 0.242 0.242
I2 0.246 0.737 0.737
I3 0.263 0.263 0.754
I4 0.263 0.754 0.263
I5 0.737 0.246 0.737
I6 0.737 0.737 0.246
I7 0.754 0.263 0.263
I8 0.758 0.758 0.758

# 2
A plane-wave DFT calculation with PBE was carried out for a relaxed KNaSn2I6 crystal.

Cell lengths 8.802, 8.802, 8.802 Å; angles 56.25, 56.25, 56.25 degrees
Sites, in units of the cell vectors:
K1 0.000 0.000 0.000
Na1 0.490 0.490 0.490
Sn1 0.296 0.296 0.296
Sn2 0.801 0.801 0.801
I1 0.071 0.659 0.441
I2 0.193 0.560 0.909
I3 0.441 0.071 0.659
I4 0.560 0.909 0.193
I5 0.659 0.441 0.071
I6 0.909 0.193 0.560

# 3
A plane-wave DFT calculation with PBE was carried out for a relaxed K3Na2SnI6 crystal.

Computed properties:
DOS(E_F) = 0.98 states/eV per cell

Cell lengths 8.822, 8.822, 8.145 Å; angles 99.66, 99.66, 123.14 degrees
Sites, in units of the cell vectors:
K1 0.000 0.000 0.000
K2 0.341 0.659 0.000
K3 0.659 0.341 0.000
Na1 0.172 0.828 0.500
Na2 0.828 0.172 0.500
Sn1 0.500 0.500 0.500
I1 0.069 0.425 0.269
I2 0.235 0.235 0.715
I3 0.425 0.069 0.269
I4 0.575 0.931 0.731
I5 0.765 0.765 0.285
I6 0.931 0.575 0.731

# 4
A plane-wave DFT calculation with PBE was carried out for a relaxed K2NaSnI6 crystal.

Computed properties:
DOS(E_F) = 13.02 states/eV per cell

Cell lengths 8.258, 8.725, 14.390 Å; angles 90.00, 124.42, 90.00 degrees
Sites, in units of the cell vectors:
K1 0.215 0.090 0.248
K2 0.215 0.410 0.748
K3 0.785 0.590 0.252
K4 0.785 0.910 0.752
Na1 0.000 0.000 0.500
Na2 0.000 0.500 0.000
Sn1 0.500 0.000 0.000
Sn2 0.500 0.500 0.500
I1 0.142 0.186 0.944
I2 0.142 0.314 0.444
I3 0.267 0.702 0.945
I4 0.267 0.798 0.445
I5 0.373 0.026 0.756
I6 0.373 0.474 0.256
I7 0.627 0.526 0.744
I8 0.627 0.974 0.244
I9 0.733 0.202 0.555
I10 0.733 0.298 0.055
I11 0.858 0.686 0.556
I12 0.858 0.814 0.056

# 5
A plane-wave DFT calculation with PBE was carried out for a relaxed KNaSnI4 crystal.

Computed properties:
DOS(E_F) = 0.00 states/eV per cell

Cell lengths 8.669, 8.845, 9.290 Å; angles 90.00, 103.39, 90.00 degrees
Sites, in units of the cell vectors:
K1 0.166 0.250 0.033
K2 0.834 0.750 0.967
Na1 0.291 0.750 0.344
Na2 0.709 0.250 0.656
Sn1 0.186 0.250 0.525
Sn2 0.814 0.750 0.475
I1 0.024 0.506 0.278
I2 0.024 0.994 0.278
I3 0.441 0.250 0.817
I4 0.453 0.250 0.367
I5 0.547 0.750 0.633
I6 0.559 0.750 0.183
I7 0.976 0.006 0.722
I8 0.976 0.494 0.722

# 6
A plane-wave DFT calculation with PBE was carried out for a relaxed K4Na3SrI8 crystal.

Computed properties:
DOS(E_F) = 3.55 states/eV per cell

Cell lengths 9.864, 9.864, 9.955 Å; angles 119.70, 119.70, 59.98 degrees
Sites, in units of the cell vectors:
K1 0.000 0.000 0.000
K2 0.000 0.500 0.000
K3 0.500 0.000 0.000
K4 0.500 0.500 0.000
Na1 0.000 0.000 0.500
Na2 0.000 0.500 0.500
Na3 0.500 0.000 0.500
Sr1 0.500 0.500 0.500
I1 0.242 0.242 0.726
I2 0.244 0.740 0.724
I3 0.260 0.260 0.277
I4 0.260 0.756 0.276
I5 0.740 0.244 0.724
I6 0.740 0.740 0.723
I7 0.756 0.260 0.276
I8 0.758 0.758 0.274

# 7
A plane-wave DFT calculation with PBE was carried out for a relaxed K3Na2SrI6 crystal.

Computed properties:
DOS(E_F) = 2.55 states/eV per cell

Cell lengths 11.114, 11.114, 9.939 Å; angles 103.98, 103.98, 25.54 degrees
Sites, in units of the cell vectors:
K1 0.000 0.000 0.000
K2 0.332 0.332 0.673
K3 0.668 0.668 0.327
Na1 0.328 0.328 0.156
Na2 0.672 0.672 0.844
Sr1 0.000 0.000 0.500
I1 0.160 0.160 0.593
I2 0.171 0.171 0.068
I3 0.495 0.495 0.264
I4 0.505 0.505 0.736
I5 0.829 0.829 0.932
I6 0.840 0.840 0.407

# 8
A plane-wave DFT calculation with PBE was carried out for a relaxed K2NaSrI4 crystal.

Computed properties:
DOS(E_F) = 3.33 states/eV per cell

Cell lengths 8.584, 4.899, 8.691 Å; angles 90.00, 109.12, 90.00 degrees
Sites, in units of the cell vectors:
K1 0.000 0.000 0.000
K2 0.500 0.500 0.000
Na1 0.000 0.500 0.500
Sr1 0.500 0.000 0.500
I1 0.243 0.000 0.723
I2 0.258 0.500 0.274
I3 0.742 0.500 0.726
I4 0.757 0.000 0.277

In the order shown, the computed final energy values come out to -2.7733, -2.8057, -2.6899, -2.6500, -2.7329, -2.7229, -2.7148, -2.6986 eV per atom.